VASP calculation (PBE) on a geometry-optimized BaHfTlPd2 structure.

The energy above the most stable polymorph in this dataset is 347 meV/atom. Its energy of formation is 1322 meV/atom. The total moment comes out at 0.17 μB/atom. As for the density of states at the Fermi level: 5.501 states/eV/f.u. The space group is P4/mmm, No. 123.

abc: 5.217 5.217 6.009
angles: 90.00 90.00 90.00
Atoms (fractional coordinates):
Ba1 0.000 0.000 0.000
Hf1 0.500 0.500 0.500
Tl1 0.000 0.000 0.500
Pd1 0.000 0.500 0.000
Pd2 0.500 0.000 0.000